1.
The following is a PBE calculation of a relaxed ZnTc2Sb crystal, from the Alexandria database.

Results
formation energy without anion corrections = 1.57 eV per formula unit

Cell: 5.161 5.161 2.992 Å, 103.83 103.83 113.13°
Sites, in units of the cell vectors:
Zn 0.000 0.000 0.000
Tc 0.000 0.500 0.500
Tc 0.500 0.000 0.500
Sb 0.500 0.500 0.000

=====

2.
The following is a PBE calculation of a relaxed CoBi2As2 crystal, from the Alexandria database.

Results
formation energy from the elements = 3.2 eV per formula unit

Cell: 7.036 7.036 4.931 Å, 90.00 90.00 90.00°
Sites, in units of the cell vectors:
Co 0.000 0.000 0.000
Co 0.500 0.500 0.000
Bi 0.160 0.340 0.000
Bi 0.340 0.840 0.000
Bi 0.660 0.160 0.000
Bi 0.840 0.660 0.000
As 0.187 0.687 0.500
As 0.313 0.187 0.500
As 0.687 0.813 0.500
As 0.813 0.313 0.500

=====

no.,distance to the lowest polymorph of the same formula (meV per atom),M_tot (μB/f.u.)
1,289,0.000
2,526,0.912